BaLa2Ag: relaxed, PBE.

Unit cell a=5.7489 b=5.7489 c=4.1465 alpha=90.00 beta=90.00 gamma=90.48
Atoms (fractional coordinates):
Ba (0.0000, 0.5000, 0.5000)
La (0.5000, 0.5000, 0.0000)
La (0.0000, 0.0000, 0.0000)
Ag (0.5000, 0.0000, 0.5000)

Properties
D(E_F) (states/eV per cell): 5.8
Energy (eV/atom): -3.482
Density (Mg/m³): 6.34
Formation enthalpy at 0 K (meV/atom): 176
ΔE to the lowest computed polymorph (meV per atom): 242.7

=====

RbSmIn4: relaxed, PBE.

Unit cell a=6.2688 b=6.2688 c=6.2688 alpha=60.00 beta=60.00 gamma=60.00
Atoms (fractional coordinates):
In (0.6255, 0.6255, 0.1235)
In (0.6255, 0.1235, 0.6255)
In (0.6255, 0.6255, 0.6255)
In (0.1235, 0.6255, 0.6255)
Sm (0.0000, 0.0000, 0.0000)
Rb (0.2500, 0.2500, 0.2500)

Properties
D(E_F) (states/eV per cell): 4.0
Energy (eV/atom): -2.915
Density (Mg/m³): 6.63
Formation enthalpy at 0 K (meV/atom): -141

=====

GaH2Ir: relaxed, PBE.

Unit cell a=3.6317 b=3.6317 c=6.8778 alpha=74.69 beta=74.69 gamma=90.00
Atoms (fractional coordinates):
Ir (0.0000, 0.0000, 0.0000)
Ir (0.7500, 0.2500, 0.5000)
H (0.3750, 0.1256, 0.7500)
H (0.8744, 0.1250, 0.2500)
H (0.8756, 0.6250, 0.2500)
H (0.8750, 0.1244, 0.7500)
Ga (0.5000, 0.5000, 0.0000)
Ga (0.2500, 0.7500, 0.5000)

Properties
D(E_F) (states/eV per cell): 2.0
Energy (eV/atom): -4.487
Density (Mg/m³): 10.42
ΔE to the lowest computed polymorph (meV per atom): 0.0

=====

PuBi2Te: relaxed, PBE.

Unit cell a=5.9571 b=4.5224 c=4.5224 alpha=90.00 beta=90.00 gamma=90.00
Site moments in Bohr magnetons follow the coordinates.
Atoms (fractional coordinates):
Bi (0.0000, 0.5000, 0.0000)  -0.02
Bi (0.0000, 0.0000, 0.5000)  -0.02
Pu (0.5000, 0.0000, 0.0000)  5.39
Te (0.5000, 0.5000, 0.5000)  -0.07

Properties
Formation energy without anion corrections (eV/atom): -0.330
D(E_F) (states/eV per cell): 15.3
Energy (eV/atom): -6.639
Density (Mg/m³): 10.76
ΔE to the lowest computed polymorph (meV per atom): 0.0

=====

CuIrBr2: relaxed, PBE.

Unit cell a=7.1861 b=7.1861 c=7.1861 alpha=151.45 beta=146.09 gamma=44.91
Atoms (fractional coordinates):
Ir (0.7500, 0.2500, 0.5000)
Cu (0.2500, 0.7500, 0.5000)
Br (0.6171, 0.6171, 0.0000)
Br (0.8829, 0.8829, 0.0000)

Properties
Formation energy without anion corrections (eV/atom): 0.252
D(E_F) (states/eV per cell): 0.8
Energy (eV/atom): -3.823
Density (Mg/m³): 6.99
ΔE to the lowest computed polymorph (meV per atom): 0.0

=====

Ce2AuCl: relaxed, PBE.

Unit cell a=3.4502 b=3.4502 c=7.9895 alpha=90.00 beta=90.00 gamma=90.00
Site moments in Bohr magnetons follow the coordinates.
Atoms (fractional coordinates):
Ce (0.0000, 0.0000, 0.7527)  0.89
Ce (0.0000, 0.0000, 0.2473)  0.89
Au (0.5000, 0.5000, 0.0000)  -0.03
Cl (0.5000, 0.5000, 0.5000)  -0.02

Properties
Formation energy without anion corrections (eV/atom): -0.884
D(E_F) (states/eV per cell): 11.2
Energy (eV/atom): -5.132
Density (Mg/m³): 8.95
ΔE to the lowest computed polymorph (meV per atom): 82.5

=====

Cr2Cd2Rh: relaxed, PBE.

Unit cell a=3.1607 b=3.1607 c=8.6384 alpha=79.46 beta=79.46 gamma=90.00
Atoms (fractional coordinates):
Cr (0.2500, 0.7500, 0.5000)
Cr (0.7500, 0.2500, 0.5000)
Rh (0.0000, 0.0000, 0.0000)
Cd (0.6026, 0.6026, 0.7948)
Cd (0.3974, 0.3974, 0.2052)

Properties
D(E_F) (states/eV per cell): 4.4
Energy (eV/atom): -5.209
Density (Mg/m³): 8.60
Formation enthalpy at 0 K (meV/atom): 477
ΔE to the lowest computed polymorph (meV per atom): 0.0

=====

ZnCr2Pb: relaxed, PBE.

Unit cell a=4.8230 b=4.8230 c=4.8230 alpha=60.00 beta=60.00 gamma=60.00
Site moments in Bohr magnetons follow the coordinates.
Atoms (fractional coordinates):
Zn (0.7500, 0.7500, 0.7500)  0.01
Pb (0.5000, 0.5000, 0.5000)  -0.02
Cr (0.2500, 0.2500, 0.2500)  3.81
Cr (0.0000, 0.0000, 0.0000)  3.86

Properties
D(E_F) (states/eV per cell): 2.0
Energy (eV/atom): -5.330
Density (Mg/m³): 7.88
Formation enthalpy at 0 K (meV/atom): 727

=====

HfRu3: relaxed, PBE.

Unit cell a=5.6629 b=5.6629 c=4.4471 alpha=90.00 beta=90.00 gamma=120.00
Atoms (fractional coordinates):
Ru (0.8351, 0.1649, 0.7500)
Ru (0.1649, 0.3297, 0.2500)
Ru (0.3297, 0.1649, 0.7500)
Ru (0.8351, 0.6703, 0.7500)
Ru (0.6703, 0.8351, 0.2500)
Ru (0.1649, 0.8351, 0.2500)
Hf (0.6667, 0.3333, 0.2500)
Hf (0.3333, 0.6667, 0.7500)

Properties
D(E_F) (states/eV per cell): 10.8
Energy (eV/atom): -9.656
Density (Mg/m³): 12.95
Formation enthalpy at 0 K (meV/atom): -211
ΔE to the lowest computed polymorph (meV per atom): 8.5

=====

Li8Sb2P: relaxed, PBE.

Unit cell a=4.3106 b=6.8311 c=7.7369 alpha=116.21 beta=106.14 gamma=90.00
Atoms (fractional coordinates):
Li (0.3204, 0.8796, 0.2787)
Li (0.5349, 0.7492, 0.7049)
Li (0.1363, 0.5431, 0.9091)
Li (0.9521, 0.5106, 0.5396)
Li (0.2892, 0.3262, 0.2153)
Li (0.6367, 0.1837, 0.9092)
Li (0.9835, 0.0199, 0.6025)
Li (0.7380, 0.9538, 0.1138)
Sb (0.4792, 0.2927, 0.5937)
Sb (0.7932, 0.6079, 0.2242)
P (0.1364, 0.9333, 0.9091)

Properties
Formation energy without anion corrections (eV/atom): -0.576
D(E_F) (states/eV per cell): 4.0
Energy (eV/atom): -3.209
Density (Mg/m³): 2.82
ΔE to the lowest computed polymorph (meV per atom): 19.6

=====

Pu6AgAu5: relaxed, PBE.

Unit cell a=4.9738 b=8.7796 c=8.7938 alpha=116.56 beta=106.47 gamma=106.39
Site moments in Bohr magnetons follow the coordinates.
Atoms (fractional coordinates):
Au (0.4904, 0.1464, 0.8350)  0.01
Au (0.5096, 0.8536, 0.1650)  0.01
Au (0.9923, 0.3265, 0.6580)  0.01
Au (0.5000, 0.5000, 0.5000)  0.02
Au (0.0077, 0.6735, 0.3420)  0.01
Pu (0.2409, 0.7344, 0.7474)  5.35
Pu (0.7591, 0.2656, 0.2526)  5.35
Pu (0.2519, 0.4263, 0.0779)  5.48
Pu (0.2551, 0.0842, 0.4255)  -5.37
Pu (0.7481, 0.5737, 0.9221)  5.48
Pu (0.7449, 0.9158, 0.5745)  -5.37
Ag (0.0000, 0.0000, 0.0000)  0.02

Properties
D(E_F) (states/eV per cell): 62.0
Energy (eV/atom): -9.067
Density (Mg/m³): 14.66
Formation enthalpy at 0 K (meV/atom): -298

=====

Y5Fe4: relaxed, PBE.

Unit cell a=6.7487 b=6.7487 c=6.7487 alpha=97.63 beta=97.63 gamma=137.27
Site moments in Bohr magnetons follow the coordinates.
Atoms (fractional coordinates):
Y (0.3179, 0.6821, 0.0000)  -0.31
Y (0.0000, 0.0000, 0.0000)  -0.21
Y (0.6821, 0.3179, 0.0000)  -0.31
Y (0.6821, 0.6821, 0.3643)  -0.31
Y (0.3179, 0.3179, 0.6357)  -0.31
Fe (0.3708, 0.0000, 0.3708)  2.45
Fe (0.6292, 0.0000, 0.6292)  2.45
Fe (0.0000, 0.6292, 0.6292)  2.45
Fe (0.0000, 0.3708, 0.3708)  2.45

Properties
D(E_F) (states/eV per cell): 11.7
Energy (eV/atom): -6.982
Density (Mg/m³): 5.71
Formation enthalpy at 0 K (meV/atom): 371
ΔE to the lowest computed polymorph (meV per atom): 130.7

=====

Sm2Ga3Pd4: relaxed, PBE.

Unit cell a=5.6510 b=7.7129 c=8.2263 alpha=90.00 beta=110.09 gamma=90.00
Atoms (fractional coordinates):
Ga (0.0197, 0.7500, 0.5395)
Ga (0.5197, 0.7500, 0.5395)
Ga (0.4803, 0.2500, 0.4605)
Ga (0.5000, 0.5000, 0.0000)
Ga (0.9803, 0.2500, 0.4605)
Ga (0.0000, 0.0000, 0.0000)
Pd (0.6891, 0.7500, 0.8781)
Pd (0.1891, 0.7500, 0.8781)
Pd (0.8168, 0.0182, 0.6337)
Pd (0.3168, 0.4818, 0.6337)
Pd (0.3109, 0.2500, 0.1219)
Pd (0.8109, 0.2500, 0.1219)
Pd (0.6832, 0.5182, 0.3663)
Pd (0.1832, 0.9818, 0.3663)
Sm (0.3898, 0.0831, 0.7796)
Sm (0.1102, 0.5831, 0.2204)
Sm (0.8898, 0.4169, 0.7796)
Sm (0.6102, 0.9169, 0.2204)

Properties
D(E_F) (states/eV per cell): 9.9
Energy (eV/atom): -5.192
Density (Mg/m³): 9.23
Formation enthalpy at 0 K (meV/atom): -827

=====

CdAg2SnCl6: relaxed, PBE.

Unit cell a=6.9742 b=6.9717 c=7.4594 alpha=62.08 beta=62.05 gamma=59.95
Atoms (fractional coordinates):
Cl (0.4060, 0.7143, 0.7646)
Cl (0.2290, 0.9313, 0.2512)
Cl (0.7141, 0.1148, 0.7645)
Cl (0.9314, 0.5883, 0.2516)
Cl (0.1151, 0.4068, 0.7646)
Cl (0.5889, 0.2288, 0.2506)
Ag (0.5240, 0.5234, 0.4285)
Ag (0.0159, 0.0168, 0.9511)
Sn (0.8172, 0.8171, 0.5484)
Cd (0.3201, 0.3200, 0.0401)

Properties
Formation energy without anion corrections (eV/atom): -0.782
D(E_F) (states/eV per cell): 0.0
Energy (eV/atom): -2.952
Density (Mg/m³): 4.15

=====

ScCoSe2: relaxed, PBE.

Unit cell a=3.4538 b=3.4538 c=6.7234 alpha=90.00 beta=90.00 gamma=110.28
Site moments in Bohr magnetons follow the coordinates.
Atoms (fractional coordinates):
Sc (0.5000, 0.5000, 0.7500)  -0.02
Se (0.0000, 0.0000, 0.4858)  0.07
Se (0.0000, 0.0000, 0.0142)  0.07
Co (0.5000, 0.5000, 0.2500)  1.72

Properties
Formation energy without anion corrections (eV/atom): -0.496
D(E_F) (states/eV per cell): 2.3
Energy (eV/atom): -5.598
Density (Mg/m³): 5.78
ΔE to the lowest computed polymorph (meV per atom): 362.0

=====

Cs8HgH2: relaxed, PBE.

Unit cell a=8.6445 b=10.6122 c=10.6128 alpha=120.00 beta=90.00 gamma=90.00
Atoms (fractional coordinates):
H (0.1578, 0.3333, 0.6667)
H (0.8422, 0.6667, 0.3333)
Cs (0.7386, 0.8208, 0.1792)
Cs (0.7386, 0.8208, 0.6416)
Cs (0.2614, 0.1792, 0.8208)
Cs (0.2614, 0.6417, 0.8208)
Cs (0.1803, 0.6667, 0.3333)
Cs (0.7386, 0.3583, 0.1792)
Cs (0.8197, 0.3333, 0.6667)
Cs (0.2614, 0.1792, 0.3584)
Hg (0.0000, 0.0000, 0.0000)

Properties
D(E_F) (states/eV per cell): 10.1
Energy (eV/atom): -1.314
Density (Mg/m³): 2.49

=====

PmGa2Sb: relaxed, PBE.

Unit cell a=4.4026 b=4.5980 c=4.5980 alpha=90.00 beta=90.00 gamma=90.00
Atoms (fractional coordinates):
Sb (0.5000, 0.0000, 0.0000)
Ga (0.0000, 0.0000, 0.5000)
Ga (0.0000, 0.5000, 0.0000)
Pm (0.5000, 0.5000, 0.5000)

Properties
Formation energy without anion corrections (eV/atom): -0.545
D(E_F) (states/eV per cell): 1.2
Energy (eV/atom): -4.277
Density (Mg/m³): 7.25
ΔE to the lowest computed polymorph (meV per atom): 0.0

=====

Li2IrRh2: relaxed, PBE.

Unit cell a=6.8622 b=6.8622 c=2.7884 alpha=90.00 beta=90.00 gamma=90.00
Atoms (fractional coordinates):
Li (0.1675, 0.6675, 0.5000)
Li (0.8325, 0.3325, 0.5000)
Li (0.3325, 0.1675, 0.5000)
Li (0.6675, 0.8325, 0.5000)
Rh (0.8672, 0.6328, 0.0000)
Rh (0.6328, 0.1328, 0.0000)
Rh (0.3672, 0.8672, 0.0000)
Rh (0.1328, 0.3672, 0.0000)
Ir (0.5000, 0.5000, 0.0000)
Ir (0.0000, 0.0000, 0.0000)

Properties
D(E_F) (states/eV per cell): 11.9
Energy (eV/atom): -5.308
Density (Mg/m³): 10.42
Formation enthalpy at 0 K (meV/atom): 170
ΔE to the lowest computed polymorph (meV per atom): 131.8

=====

BeCd2: relaxed, PBE.

Unit cell a=2.9478 b=6.3967 c=6.5053 alpha=90.00 beta=90.00 gamma=90.00
Atoms (fractional coordinates):
Be (0.5000, 0.5000, 0.5000)
Be (0.0000, 0.0000, 0.0000)
Cd (0.5000, 0.7732, 0.7724)
Cd (0.0000, 0.7268, 0.2724)
Cd (0.0000, 0.2732, 0.7276)
Cd (0.5000, 0.2268, 0.2276)

Properties
D(E_F) (states/eV per cell): 2.4
Energy (eV/atom): -1.457
Density (Mg/m³): 6.33
Formation enthalpy at 0 K (meV/atom): 395
ΔE to the lowest computed polymorph (meV per atom): 146.8

=====

Rb2NpAg2Te4: relaxed, PBE.

Unit cell a=4.5458 b=8.7278 c=8.5200 alpha=108.16 beta=105.47 gamma=90.00
Site moments in Bohr magnetons follow the coordinates.
Atoms (fractional coordinates):
Te (0.4890, 0.2347, 0.9781)  -0.10
Te (0.1936, 0.1906, 0.3872)  -0.08
Te (0.8064, 0.8094, 0.6128)  -0.08
Te (0.5110, 0.7653, 0.0219)  -0.10
Ag (0.6813, 0.9847, 0.3627)  -0.03
Ag (0.3187, 0.0153, 0.6373)  -0.03
Np (0.0000, 0.0000, 0.0000)  3.59
Rb (0.8652, 0.4249, 0.7305)  0.00
Rb (0.1348, 0.5751, 0.2695)  0.00

Properties
Formation energy without anion corrections (eV/atom): -0.685
D(E_F) (states/eV per cell): 10.3
Energy (eV/atom): -4.368
Density (Mg/m³): 6.11

=====

Be3HCl: relaxed, PBE.

Unit cell a=3.7551 b=3.7551 c=3.7551 alpha=90.00 beta=90.00 gamma=90.00
Atoms (fractional coordinates):
H (0.0000, 0.0000, 0.0000)
Be (0.0000, 0.5000, 0.0000)
Be (0.0000, 0.0000, 0.5000)
Be (0.5000, 0.0000, 0.0000)
Cl (0.5000, 0.5000, 0.5000)

Properties
D(E_F) (states/eV per cell): 2.8
Energy (eV/atom): -2.259
Density (Mg/m³): 1.99
ΔE to the lowest computed polymorph (meV per atom): 0.0

=====

KRb3S: relaxed, PBE.

Unit cell a=6.6591 b=6.6591 c=6.6591 alpha=90.00 beta=90.00 gamma=90.00
Atoms (fractional coordinates):
Rb (0.5000, 0.0000, 0.0000)
Rb (0.0000, 0.5000, 0.0000)
Rb (0.0000, 0.0000, 0.5000)
S (0.0000, 0.0000, 0.0000)
K (0.5000, 0.5000, 0.5000)

Properties
Formation energy without anion corrections (eV/atom): -0.504
D(E_F) (states/eV per cell): 1.0
Energy (eV/atom): -2.130
Density (Mg/m³): 1.84
ΔE to the lowest computed polymorph (meV per atom): 0.0

=====

Gd2PbO: relaxed, PBE.

Unit cell a=3.6280 b=3.6280 c=8.0649 alpha=77.00 beta=77.00 gamma=60.00
Site moments in Bohr magnetons follow the coordinates.
Atoms (fractional coordinates):
O (0.5000, 0.5000, 0.5000)  -0.04
Gd (0.7773, 0.7773, 0.6682)  6.92
Gd (0.2227, 0.2227, 0.3318)  6.92
Pb (0.0000, 0.0000, 0.0000)  -0.03

Properties
Formation energy without anion corrections (eV/atom): -1.582
D(E_F) (states/eV per cell): 2.0
Energy (eV/atom): -10.789
Density (Mg/m³): 10.06
ΔE to the lowest computed polymorph (meV per atom): 0.0

=====

ScBeZn: relaxed, PBE.

Unit cell a=5.4858 b=5.4857 c=2.9892 alpha=74.19 beta=74.19 gamma=31.62
Atoms (fractional coordinates):
Sc (0.3406, 0.3406, 0.6594)
Be (0.0207, 0.0206, 0.9793)
Zn (0.6387, 0.6387, 0.3613)

Properties
D(E_F) (states/eV per cell): 1.4
Energy (eV/atom): -3.843
Density (Mg/m³): 4.38
Formation enthalpy at 0 K (meV/atom): -66
ΔE to the lowest computed polymorph (meV per atom): 110.5

=====

CaDy2Ho7: relaxed, PBE.

Unit cell a=6.1503 b=9.4324 c=6.1443 alpha=109.19 beta=80.31 gamma=77.52
Atoms (fractional coordinates):
Dy (0.5082, 0.6966, 0.5969)
Dy (0.4918, 0.3034, 0.4031)
Ho (0.0000, 0.7940, 0.3988)
Ho (0.5000, 0.5000, 0.0000)
Ho (0.0009, 0.4055, 0.2015)
Ho (0.5017, 0.1034, 0.7908)
Ho (0.9991, 0.5945, 0.7985)
Ho (0.4983, 0.8966, 0.2092)
Ho (0.0000, 0.2060, 0.6012)
Ca (0.0000, 0.0000, 0.0000)

Properties
D(E_F) (states/eV per cell): 14.5
Energy (eV/atom): -4.267
Density (Mg/m³): 7.95
Formation enthalpy at 0 K (meV/atom): 58